*a*
OsC2Cl (SCAN, single point on PBEsol structure); SG = Fm-3m (225)
1.0
-1.062 2.711 2.521
-2.393 -0.885 2.886
1.310 -0.118 3.620
C Os Cl
2 1 1
Cartesian
-0.536 0.427 2.257
-1.608 1.282 6.771
-1.072 0.854 4.514
0.000 0.000 0.000

=====

*b*
OsC2Cl (SCAN, single point on PBEsol structure); SG = Fd-3m (227)
1.0
-1.430 -0.515 -5.833
-5.659 -1.312 -1.612
-3.430 4.193 -2.644
C Os Cl
4 2 2
Cartesian
-6.574 1.479 -6.306
-4.859 -0.618 -4.984
-3.745 2.135 -5.500
-5.859 1.736 -3.389
-7.889 1.774 -7.567
-5.260 1.183 -5.044
-2.630 0.591 -2.522
0.000 0.000 0.000

=====

Name the most stable of them. *b*.

=====

*a*
RhCCl2 (SCAN, single point on PBEsol structure); SG = Fm-3m (225)
1.0
4.263 0.000 0.000
2.131 3.692 0.000
2.131 1.231 3.480
C Rh Cl
1 1 2
Cartesian
0.000 0.000 0.000
4.263 2.461 1.740
2.131 1.231 0.870
6.394 3.692 2.610

=====

*b*
RhCCl2 (SCAN, single point on PBEsol structure); SG = I-42d (122)
1.0
-1.081 3.353 -4.027
-4.361 -2.186 2.197
2.476 2.819 3.814
C Rh Cl
2 2 4
Cartesian
-2.721 0.583 -0.915
-0.663 3.378 -0.564
0.000 0.000 0.000
-2.303 0.608 2.548
-3.527 2.413 0.307
-0.799 1.864 1.220
-0.379 1.870 4.667
-1.226 1.824 -2.225

=====

Name the most stable of them. *b*.

=====

*a*
CoC2 (SCAN, single point on PBEsol structure); SG = R-3m (166)
1.0
-1.272 -2.281 -0.509
1.712 -0.225 3.682
-4.024 2.014 1.033
C Co
4 2
Cartesian
-1.647 -1.311 3.034
-0.563 -1.328 0.402
-3.021 0.836 3.804
-1.937 0.819 1.172
-0.468 -0.179 1.971
-3.117 -0.313 2.235

=====

*b*
CoC2 (SCAN, single point on PBEsol structure); SG = P-31m (162)
1.0
-3.731 0.770 -2.271
1.652 -2.417 -3.533
-2.429 -2.098 3.279
C Co
6 3
Cartesian
0.150 -1.461 -3.036
-1.230 -1.200 -0.681
-2.662 -1.242 1.658
-3.498 -0.087 -0.649
-3.277 -2.545 -1.844
-2.228 -0.186 -2.768
0.000 0.000 0.000
-1.574 -1.926 -2.398
-2.934 -1.820 -0.127

=====

Name the most stable of them. *a*.

=====

*a*
Co5C3 (SCAN, single point on PBEsol structure); SG = Cmmm (65)
1.0
2.965 0.000 0.000
0.000 4.857 0.057
0.000 -1.568 4.598
C Co
3 5
Cartesian
0.000 1.645 2.327
1.482 3.820 0.790
1.482 -0.531 3.865
0.000 0.000 0.000
0.000 -0.784 2.299
0.000 2.429 0.029
1.482 0.992 1.404
1.482 2.297 3.251

=====

*b*
Co5C3 (SCAN, single point on PBEsol structure); SG = P4/mmm (123)
1.0
2.431 0.000 0.000
0.000 2.431 0.000
0.000 0.000 10.851
C Co
3 5
Cartesian
0.000 0.000 5.426
1.215 1.215 1.401
1.215 1.215 9.450
0.000 0.000 0.000
0.000 0.000 2.331
0.000 0.000 8.520
1.215 1.215 4.299
1.215 1.215 6.553

=====

Name the most stable of them. *a*.

=====

*a*
Co2C (SCAN, single point on PBEsol structure); SG = Cmcm (63)
1.0
2.828 0.000 0.000
0.000 3.834 0.000
-1.414 0.000 5.066
C Co
2 4
Cartesian
1.414 2.876 3.369
0.000 0.959 1.697
0.000 2.876 2.057
0.000 2.876 4.500
1.414 0.959 0.567
1.414 0.959 3.009

=====

*b*
Co2C (SCAN, single point on PBEsol structure); SG = P-62m (189)
1.0
-2.316 -1.538 -1.758
3.599 -1.825 -3.146
-1.370 -2.672 4.143
C Co
3 6
Cartesian
1.943 -2.107 -0.716
0.286 -2.390 1.713
-1.158 -0.769 -0.879
1.615 -3.258 0.722
-0.378 -0.736 1.142
0.992 -0.503 -0.867
-0.300 -2.499 -0.495
-2.001 -2.413 1.670
1.057 -1.892 -2.815

=====

Name the most stable of them. *b*.

=====

*a*
Li2CoH8C2O10 (SCAN, single point on PBEsol structure); SG = P2_1/c (14)
1.0
-0.868 -5.620 -0.552
3.173 -0.005 -4.932
10.341 -2.042 4.530
Li Co H C O
4 2 16 4 20
Cartesian
2.743 -4.502 -2.697
6.323 -2.122 -2.985
6.323 -5.545 2.032
9.903 -3.165 1.743
0.000 0.000 0.000
6.323 -3.834 -0.477
1.244 -2.046 -1.199
2.175 -1.839 -3.815
2.083 -0.751 -1.377
3.413 -1.380 -2.822
4.071 -4.175 0.793
5.745 -4.647 -2.801
4.489 -5.604 0.347
6.760 -5.634 -1.950
5.886 -2.033 0.997
8.157 -2.064 -1.301
6.901 -3.021 1.848
8.575 -3.492 -1.747
9.233 -6.287 1.869
10.563 -6.917 0.424
10.471 -5.829 2.862
11.402 -5.621 0.246
1.625 -4.006 0.087
4.446 -1.458 -0.724
8.200 -6.210 -0.230
11.021 -3.661 -1.040
1.121 -1.061 -1.409
1.639 -3.617 -1.158
3.179 -1.693 -3.757
3.860 -4.765 -4.392
3.681 -0.669 -1.410
2.571 -3.627 0.888
5.129 -2.356 -1.339
4.513 -1.327 0.572
4.895 -4.758 0.737
5.847 -5.187 -1.950
6.799 -2.481 0.997
7.751 -2.909 -1.691
8.133 -6.341 -1.526
7.517 -5.311 0.385
10.075 -4.040 -1.841
8.965 -6.999 0.456
8.786 -2.903 3.439
9.467 -5.975 2.803
11.007 -4.050 0.204
11.525 -6.607 0.455

=====

*b*
Li2CoH8C2O10 (SCAN, single point on PBEsol structure); SG = C2/c (15)
1.0
-3.403 -0.908 -4.025
-2.720 -4.319 1.598
-11.470 6.129 5.113
Li Co H C O
4 2 16 4 20
Cartesian
-3.912 -3.336 -0.229
-7.714 0.015 2.267
-9.879 0.886 0.419
-13.681 4.237 2.914
-5.620 -2.622 2.604
-11.973 3.523 0.082
-10.005 -1.650 0.513
-5.770 -3.988 -1.966
-15.793 1.676 2.639
-11.462 -1.141 0.949
-8.173 -0.484 -0.562
-13.686 1.473 3.819
-4.866 -1.585 -1.829
-7.249 0.701 -0.152
-10.344 0.200 2.838
-12.727 2.486 4.514
-3.907 -0.572 -1.134
-9.420 1.385 3.248
-6.131 2.043 1.737
-1.800 -0.774 0.046
-11.823 4.890 4.651
-7.588 2.551 2.173
-7.627 -2.739 1.115
-13.687 1.948 0.996
-3.906 -1.047 1.690
-9.966 3.641 1.571
-10.698 -0.961 0.331
-8.760 -2.883 0.505
-4.894 -4.365 -1.666
-14.704 1.225 1.342
-6.533 -3.248 0.688
-7.563 -2.069 2.237
-12.596 1.452 0.548
-8.008 0.159 0.192
-13.751 3.252 1.072
-13.589 2.453 4.018
-4.004 -1.552 -1.332
-3.842 -2.351 1.613
-9.585 0.742 2.493
-4.997 -0.551 2.138
-10.030 2.971 0.449
-11.060 4.150 1.998
-2.889 -0.323 1.344
-12.699 5.266 4.351
-8.833 3.784 2.181
-6.895 1.862 2.355

=====

Name the most stable of them. *b*.

=====

*a*
CoCI2 (SCAN, single point on PBEsol structure); SG = I-42d (122)
1.0
5.535 0.000 0.000
0.000 5.535 0.000
-2.767 -2.767 5.674
I C Co
4 2 2
Cartesian
1.355 4.151 1.419
4.180 1.384 1.419
-1.384 -1.413 4.256
1.384 1.413 4.256
2.767 0.000 2.837
2.767 2.767 0.000
0.000 2.767 2.837
0.000 0.000 0.000

=====

*b*
CoCI2 (SCAN, single point on PBEsol structure); SG = Fm-3m (225)
1.0
-0.515 -4.609 -0.210
0.934 -2.612 3.723
-3.456 -2.058 2.318
I C Co
2 1 1
Cartesian
-0.759 -2.320 1.458
-2.277 -6.959 4.374
0.000 0.000 0.000
-1.518 -4.639 2.916

=====

Name the most stable of them. *a*.

=====

*a*
CrC3 (SCAN, single point on PBEsol structure); SG = P4/mmm (123)
1.0
2.598 0.000 0.000
0.000 3.319 0.000
0.000 0.000 3.319
Cr C
1 3
Cartesian
1.299 0.000 0.000
0.000 0.000 1.659
1.299 1.659 1.659
0.000 1.659 0.000

=====

*b*
CrC3 (SCAN, single point on PBEsol structure); SG = Pm-3m (221)
1.0
3.717 0.000 0.000
0.000 3.717 0.000
0.000 0.000 3.717
Cr C
1 3
Cartesian
0.000 0.000 0.000
1.859 0.000 0.000
0.000 1.859 0.000
0.000 0.000 1.859

=====

*c*
CrC3 (SCAN, single point on PBEsol structure); SG = P6_3/mmc (194)
1.0
4.127 0.000 0.000
-2.064 3.574 0.000
0.000 0.000 4.305
Cr C
2 6
Cartesian
2.064 1.191 3.228
0.000 2.383 1.076
-0.739 2.810 3.228
0.739 2.810 3.228
0.000 1.529 3.228
2.803 0.765 1.076
1.324 0.765 1.076
2.064 2.045 1.076

=====

Name the most stable of them. *c*.